VASP calculation (GGA+U) on a relaxed structure of Pm2NiRuO8.

Cell: 5.3034 4.1796 6.8642 Å, 93.17 83.06 96.71°
Site moments in Bohr magnetons follow the coordinates.
Element x y z (fractional)
O 0.7291 0.6897 0.9524  0.00
O 0.3229 0.2098 0.4466  0.00
Ru 0.0000 0.0000 0.0000  0.37
O 0.2709 0.3103 0.0476  0.00
Ni 0.0000 0.0000 0.5000  1.26
O 0.7590 0.2222 0.1580  0.11
O 0.2410 0.7778 0.8420  0.11
Pm 0.5163 0.3094 0.7379  0.01
O 0.6771 0.7902 0.5534  0.00
O 0.9540 0.2122 0.7539  -0.06
O 0.0460 0.7878 0.2461  -0.06
Pm 0.4837 0.6906 0.2621  0.01

DOS at the Fermi energy = 0.299 states/eV/atom
VASP energy = -82.0 eV per cell
ρ = 6.4 g/cm3